1.
Entry from Alexandria via LeMat-Bulk: a relaxed Ca2Tl3In3 crystal (GGA-PBE).

abc: 4.766 4.792 9.687
angles: 90.00 90.00 90.00
Space group Pmmm (No. 47)
Asymmetric unit:
Ca: 0.000 0.000 0.249 (multiplicity 2)
Tl: 0.500 0.000 0.500 (multiplicity 1)
Tl: 0.500 0.500 0.243 (multiplicity 2)
In: 0.000 0.500 0.000 (multiplicity 1)
In: 0.000 0.500 0.500 (multiplicity 1)
In: 0.500 0.000 0.000 (multiplicity 1)

Results
ΔH_f (0 K): -2.17 eV/f.u.
Final energy: -2.686 eV/atom
D(E_F): 4.59 states/eV per cell

---

2.
Entry from Alexandria via LeMat-Bulk: a relaxed YInNF2 crystal (GGA-PBE).

abc: 4.326 4.326 4.184
angles: 90.00 90.00 90.00
Space group P4/mmm (No. 123)
Asymmetric unit:
Y: 0.000 0.000 0.000 (multiplicity 1)
In: 0.500 0.500 0.500 (multiplicity 1)
N: 0.500 0.500 0.000 (multiplicity 1)
F: 0.000 0.500 0.500 (multiplicity 2)

Results
Final energy: -5.524 eV/atom
D(E_F): 1.60 states/eV per cell
ΔE_f (raw): -1.27 eV/atom
ΔE to the lowest computed polymorph: 552 meV per atom

---

Which formula does entry 2 have? YInNF2